DFT (PBE) results for a relaxed structure of NdTiSi2Ru.

```
NdTiSi2Ru
1.0
-2.313 2.386 -2.326
-0.850 -3.161 -2.397
-2.760 -0.797 5.464
Ti Si Nd Ru
1 2 1 1
Cartesian
-2.596 -2.172 0.353
-3.355 -0.915 2.397
-2.569 -0.656 -1.656
0.000 0.000 0.000
-3.327 0.601 0.388
```

Computed properties:
uncorrected formation energy	-0.81	eV per atom
volume	18.0	Å³/atom
crystal system	tetragonal


DFT (PBE) results for a relaxed structure of Nd2USiRu6.

```
Nd2USiRu6
1.0
-5.795 -1.455 2.787
-2.200 -2.298 -5.774
-2.409 -6.123 -0.408
Ru Nd Si U
6 2 1 1
Cartesian
-6.065 -2.847 -2.266
-3.176 -4.073 -0.932
-3.067 -2.095 -3.708
-7.228 -5.802 -2.463
-1.929 -0.906 -0.721
-4.927 -1.658 0.721
-4.303 -5.149 -3.838
-6.101 -4.727 0.443
0.000 0.000 0.000
-3.997 -1.876 -1.493
```

Computed properties:
uncorrected formation energy	0.22	eV per atom
volume	20.3	Å³/atom
crystal system	cubic